(1)
The following is a PBE calculation of CeSmPd after structural relaxation, from Alexandria via LeMat-Bulk.

Results
* volume: 29.0 A^3/atom
* polymorph energy (0 for the lowest one): 134 meV per atom
* calculated total energy: -5.55 eV/atom
* crystal system: cubic
* N(E_F): 9.6 states/eV/f.u.
* energy of formation: -269 meV/atom

Cell: 7.034 7.034 7.034 Å, 90.00 90.00 90.00°
Space group F-43m (No. 216)
Unique sites:
Ce  0.000  0.000  0.000
Sm  0.000  0.000  0.500
Pd  0.250  0.250  0.750

=====

(2)
The following is a PBE calculation of CeSmPd6 after structural relaxation, from Alexandria via LeMat-Bulk.

Results
* volume: 18.0 A^3/atom
* calculated total energy: -6.07 eV/atom
* crystal system: tetragonal
* N(E_F): 1.5 states/eV/f.u.
* energy of formation: -844 meV/atom

Cell: 4.158 4.158 8.313 Å, 90.00 90.00 90.00°
Space group P4/mmm (No. 123)
Unique sites:
Ce  0.000  0.000  0.000
Sm  0.000  0.000  0.500
Pd  0.000  0.500  0.244
Pd  0.500  0.500  0.000
Pd  0.500  0.500  0.500